5
Lattice="3.8347 0.0000 0.0000 0.0000 3.8347 0.0000 0.0000 0.0000 5.7836" Properties=species:S:1:pos:R:3 comment="TiAuSeN2 (PBE, optimized geometry)" de_polymorph_ev_per_atom=0.000 sg=P4/mmm final_energy_ev_per_cell=-29.3 pbc="T T T"
Ti 0.0000 0.0000 0.0000
Au 1.9173 1.9173 2.8918
Se 0.0000 0.0000 2.8918
N 0.0000 1.9173 0.0000
N 1.9173 0.0000 0.0000